Density functional theory data (GGA-PBEsol) for a relaxed KSr2Ni crystal.

Values from the calculation:
As for the uncorrected energy: -2.297 eV per atom. The value obtained for the energy of formation is 445.5 meV/atom. As for the energy above the most stable polymorph in this dataset: 205 meV/atom. The theoretical density is 3.48 Mg/m³. Its symmetry is Fm-3m (225).

a b c (Å): 5.689 5.689 5.689
angles (deg): 60.00 60.00 60.00
Atoms (fractional coordinates):
K 0.000 0.000 0.000
Sr 0.250 0.250 0.250
Sr 0.750 0.750 0.750
Ni 0.500 0.500 0.500